{
  "formula": "ZnH20C16S2N6",
  "functional": "GGA-PBE",
  "state": "relaxed",
  "cell": [[-2.316, -1.932, -4.417], [-11.581, -4.756, 8.154], [-4.494, 10.740, -0.119]],
  "species": ["C", "C", "C", "C", "C", "C", "C", "C", "C", "C", "C", "C", "C", "C", "C", "C", "C", "C", "C", "C", "C", "C", "C", "C", "C", "C", "C", "C", "C", "C", "C", "C", "H", "H", "H", "H", "H", "H", "H", "H", "H", "H", "H", "H", "H", "H", "H", "H", "H", "H", "H", "H", "H", "H", "H", "H", "H", "H", "H", "H", "H", "H", "H", "H", "H", "H", "H", "H", "H", "H", "H", "H", "N", "N", "N", "N", "N", "N", "N", "N", "N", "N", "N", "N", "S", "S", "S", "S", "Zn", "Zn"],
  "fractional_positions": [[0.260, 0.250, 0.026], [0.409, 0.628, 0.142], [0.409, 0.872, 0.142], [0.590, 0.562, 0.142], [0.590, 0.938, 0.142], [0.968, 0.071, 0.149], [0.968, 0.429, 0.149], [0.651, 0.506, 0.241], [0.651, 0.994, 0.241], [0.331, 0.587, 0.324], [0.331, 0.913, 0.324], [0.509, 0.520, 0.333], [0.509, 0.980, 0.333], [0.893, 0.112, 0.350], [0.893, 0.388, 0.350], [0.736, 0.750, 0.425], [0.264, 0.250, 0.575], [0.107, 0.612, 0.650], [0.107, 0.888, 0.650], [0.491, 0.020, 0.667], [0.491, 0.480, 0.667], [0.669, 0.087, 0.676], [0.669, 0.413, 0.676], [0.349, 0.006, 0.759], [0.349, 0.494, 0.759], [0.032, 0.571, 0.851], [0.032, 0.929, 0.851], [0.410, 0.062, 0.858], [0.410, 0.438, 0.858], [0.591, 0.128, 0.858], [0.591, 0.372, 0.858], [0.740, 0.750, 0.974], [0.686, 0.556, 0.067], [0.686, 0.944, 0.067], [0.363, 0.672, 0.067], [0.363, 0.828, 0.067], [0.838, 0.095, 0.073], [0.838, 0.405, 0.073], [0.058, 0.009, 0.126], [0.058, 0.491, 0.126], [0.116, 0.121, 0.173], [0.116, 0.379, 0.173], [0.048, 0.158, 0.340], [0.048, 0.342, 0.340], [0.727, 0.152, 0.365], [0.727, 0.348, 0.365], [0.222, 0.600, 0.395], [0.222, 0.900, 0.395], [0.536, 0.023, 0.410], [0.536, 0.477, 0.410], [0.954, 0.071, 0.428], [0.954, 0.429, 0.428], [0.046, 0.571, 0.572], [0.046, 0.929, 0.572], [0.464, 0.523, 0.590], [0.464, 0.977, 0.590], [0.778, 0.100, 0.605], [0.778, 0.400, 0.605], [0.273, 0.652, 0.635], [0.273, 0.848, 0.635], [0.952, 0.658, 0.660], [0.952, 0.842, 0.660], [0.884, 0.621, 0.827], [0.884, 0.879, 0.827], [0.942, 0.509, 0.874], [0.942, 0.991, 0.874], [0.162, 0.595, 0.927], [0.162, 0.905, 0.927], [0.637, 0.172, 0.933], [0.637, 0.328, 0.933], [0.314, 0.056, 0.933], [0.314, 0.444, 0.933], [0.892, 0.750, 0.060], [0.280, 0.642, 0.231], [0.280, 0.858, 0.231], [0.835, 0.056, 0.247], [0.835, 0.444, 0.247], [0.857, 0.750, 0.348], [0.143, 0.250, 0.652], [0.165, 0.556, 0.753], [0.165, 0.944, 0.753], [0.720, 0.142, 0.769], [0.720, 0.358, 0.769], [0.108, 0.250, 0.940], [0.469, 0.250, 0.142], [0.428, 0.250, 0.471], [0.572, 0.750, 0.529], [0.531, 0.750, 0.858], [0.051, 0.750, 0.223], [0.949, 0.250, 0.777]],
  "dft_energy_ev_per_atom": -6.164
}